[1]
VASP calculation (PBE) on crystalline DyHo2CdHg4 at its relaxed geometry.

Geometry as POSCAR:
```
DyHo2CdHg4
1.0
2.569 1.483 8.625
-2.569 1.483 8.625
0.000 -2.966 8.625
Dy Ho Cd Hg
1 2 1 4
direct
0.000 0.000 0.000
0.243 0.243 0.243
0.757 0.757 0.757
0.500 0.500 0.500
0.122 0.122 0.122
0.369 0.369 0.369
0.631 0.631 0.631
0.878 0.878 0.878
```

Size of the total moment = 0.000 μB per formula unit
Energy of formation from the pure elements = -3.42 eV per formula unit


[2]
VASP calculation (PBE) on crystalline Er2TmGa9 at its relaxed geometry.

Geometry as POSCAR:
```
Er2TmGa9
1.0
4.245 0.000 0.000
0.000 4.245 0.000
0.000 0.000 12.722
Er Tm Ga
2 1 9
direct
0.000 0.000 0.167
0.000 0.000 0.833
0.000 0.000 0.500
0.000 0.500 0.000
0.000 0.500 0.334
0.000 0.500 0.666
0.500 0.000 0.000
0.500 0.000 0.334
0.500 0.000 0.666
0.500 0.500 0.167
0.500 0.500 0.500
0.500 0.500 0.833
```

Size of the total moment = 0.000 μB per formula unit
Energy of formation from the pure elements = -6.28 eV per formula unit


Which value of energy of formation from the pure elements does entry 2 give? -6.28 eV per formula unit